The following is a DFT calculation (SCAN) of a crystal of Mg3TlGe relaxed with PBEsol.

```
5
Lattice="-2.5140 1.7922 4.1969 -3.8842 -3.3557 -0.8937 2.3957 -3.5600 2.9553" Properties=species:S:1:pos:R:3 pbc="T T T"
Mg -1.9421 -1.6778 -0.4468
Mg 1.1978 -1.7800 1.4776
Mg -1.2570 0.8961 2.0985
Ge -2.0013 -2.5617 3.1293
Tl 0.0000 0.0000 0.0000
```

The spin magnetization comes out at 0.00 Bohr magnetons per cell. As for the energy of formation from the pure elements: 0.44 eV/atom. The density is 4.11 g/cm³. The uncorrected energy comes out at -20.837 eV/atom.


The following is a DFT calculation (SCAN) of a crystal of Pb2WCl relaxed with PBEsol.

```
4
Lattice="-2.0298 3.8283 -2.4783 -0.8444 -0.3692 -4.9059 -4.6782 -0.3325 -1.7093" Properties=species:S:1:pos:R:3 pbc="T T T"
Pb -5.6643 2.3449 -6.8201
Pb 0.0000 0.0000 0.0000
Cl -3.7762 1.5633 -4.5467
W -1.8881 0.7816 -2.2734
```

As for the formation energy from raw total energies: 1.0566 eV per atom. The spin magnetization comes out at 1.10 Bohr magnetons per cell. The density is 11.96 g/cm³. The value obtained for the polymorph energy (0 for the lowest one) is 15.3 kJ per mole of atoms. The uncorrected energy comes out at -56.250 eV/atom.


The following is a DFT calculation (SCAN) of a crystal of Zr2P2C relaxed with PBEsol.

```
5
Lattice="3.2389 0.0000 0.0000 0.0000 3.2389 0.0000 -1.6195 -1.6195 6.8919" Properties=species:S:1:pos:R:3 pbc="T T T"
C 0.0000 0.0000 0.0000
P 1.6195 0.0000 3.4460
P 0.0000 1.6195 3.4460
Zr 1.6195 1.6195 1.3492
Zr 0.0000 0.0000 5.5427
```

The spin magnetization comes out at 0.00 Bohr magnetons per cell. As for the energy of formation from the pure elements: -0.28 eV/atom. The density is 5.89 g/cm³. The uncorrected energy comes out at -18.744 eV/atom.


The following is a DFT calculation (SCAN) of a crystal of AlSn3Bi relaxed with PBEsol.

```
5
Lattice="5.7371 0.0000 0.0000 0.0000 5.7371 0.0000 0.0000 0.0000 5.7371" Properties=species:S:1:pos:R:3 pbc="T T T"
Sn 0.0000 2.8685 0.0000
Sn 2.8685 0.0000 0.0000
Sn 0.0000 0.0000 2.8685
Bi 0.0000 0.0000 0.0000
Al 2.8685 2.8685 2.8685
```

The spin magnetization comes out at 0.00 Bohr magnetons per cell. As for the energy of formation from the pure elements: 1.08 eV/atom. The density is 5.21 g/cm³. The uncorrected energy comes out at -37.744 eV/atom.


The following is a DFT calculation (SCAN) of a crystal of SrBeTe4 relaxed with PBEsol.

```
6
Lattice="6.3651 0.0000 0.0000 3.1825 5.5123 0.0000 3.1825 1.8374 5.1971" Properties=species:S:1:pos:R:3 pbc="T T T"
Te 7.9487 2.7606 1.9520
Te 4.7815 2.7606 1.9520
Te 6.3651 5.5035 1.9520
Te 6.3651 3.6749 4.5380
Sr 0.0000 0.0000 0.0000
Be 9.5476 5.5123 3.8978
```

As for the formation energy from raw total energies: 0.1701 eV per atom. The spin magnetization comes out at 0.00 Bohr magnetons per cell. The density is 5.53 g/cm³. The uncorrected energy comes out at -29.102 eV/atom.


The following is a DFT calculation (SCAN) of a crystal of BeP2Os relaxed with PBEsol.

```
4
Lattice="-0.2263 2.7681 -0.7876 -0.9026 0.6820 2.6560 6.1579 1.0241 1.8297" Properties=species:S:1:pos:R:3 pbc="T T T"
P 1.4907 2.0668 1.5448
P 5.7073 0.9492 1.6958
Be 3.2017 0.5325 0.9513
Os 3.8660 2.4619 2.2506
```

The spin magnetization comes out at 0.00 Bohr magnetons per cell. As for the energy of formation from the pure elements: 0.05 eV/atom. The density is 8.00 g/cm³. The uncorrected energy comes out at -24.212 eV/atom.